Record 1
Compound: Np3Mn3S8
Source: Alexandria
Functional: PBE
Structure: optimized geometry

a b c (Å): 7.552 7.552 7.552
angles (deg): 62.87 62.87 62.87
Fractional coordinates of all 14 atoms:
Mn 0.000 0.000 0.000
Mn 0.617 0.617 0.617
Mn 0.383 0.383 0.383
S 0.758 0.758 0.237
S 0.751 0.751 0.751
S 0.242 0.763 0.242
S 0.763 0.242 0.242
S 0.237 0.758 0.758
S 0.242 0.242 0.763
S 0.758 0.237 0.758
S 0.249 0.249 0.249
Np 0.000 0.000 0.500
Np 0.500 0.000 0.000
Np 0.000 0.500 0.000

**Electronic total energy**: -8.05 eV/atom
**Space group**: No. 166
**Formation energy (no corrections)**: -13.333 eV/f.u.
**Magnetic moment**: 4.015 μB/cell
**Mass density**: 5.8 g/cm³


Record 2
Compound: NpMn2S4
Source: Alexandria
Functional: PBE
Structure: optimized geometry

a b c (Å): 3.688 12.165 11.827
angles (deg): 90.00 90.00 90.00
Fractional coordinates of all 28 atoms:
S 0.251 0.000 0.250
S 0.250 0.614 0.524
S 0.250 0.386 0.976
S 0.750 0.886 0.024
S 0.249 0.250 0.701
S 0.250 0.886 0.524
S 0.249 0.750 0.799
S 0.750 0.386 0.476
S 0.251 0.500 0.250
S 0.749 0.000 0.750
S 0.751 0.750 0.299
S 0.749 0.500 0.750
S 0.750 0.614 0.024
S 0.250 0.114 0.976
S 0.751 0.250 0.201
S 0.750 0.114 0.476
Np 0.251 0.750 0.130
Np 0.251 0.250 0.370
Np 0.749 0.750 0.630
Np 0.749 0.250 0.870
Mn 0.250 0.934 0.880
Mn 0.250 0.066 0.620
Mn 0.750 0.566 0.380
Mn 0.250 0.566 0.880
Mn 0.750 0.934 0.380
Mn 0.250 0.434 0.620
Mn 0.750 0.066 0.120
Mn 0.750 0.434 0.120

**Electronic total energy**: -7.68 eV/atom
**Space group**: No. 63
**E above lowest polymorph**: 0.000 eV/atom
**Formation energy (no corrections)**: -5.968 eV/f.u.
**Magnetic moment**: 50.435 μB/cell
**Mass density**: 5.9 g/cm³


Record 3
Compound: NpMn4S8
Source: Alexandria
Functional: PBE
Structure: optimized geometry

a b c (Å): 6.900 6.900 7.247
angles (deg): 61.57 61.57 60.00
Fractional coordinates of all 13 atoms:
S 0.761 0.761 0.217
S 0.736 0.736 0.791
S 0.261 0.761 0.217
S 0.761 0.261 0.217
S 0.239 0.739 0.783
S 0.739 0.239 0.783
S 0.264 0.264 0.209
S 0.239 0.239 0.783
Mn 0.000 0.500 0.000
Mn 0.000 0.000 0.000
Mn 0.500 0.000 0.000
Mn 0.500 0.500 0.000
Np 0.500 0.500 0.500

**Electronic total energy**: -7.07 eV/atom
**Space group**: No. 166
**Formation energy (no corrections)**: -9.220 eV/f.u.
**Magnetic moment**: 14.438 μB/cell
**Mass density**: 4.7 g/cm³


Record 4
Compound: Np4MnS8
Source: Alexandria
Functional: PBE
Structure: optimized geometry

a b c (Å): 6.940 7.252 7.252
angles (deg): 76.76 61.41 61.41
Fractional coordinates of all 13 atoms:
S 0.244 0.256 0.256
S 0.500 0.256 0.744
S 0.500 0.744 0.256
S 0.750 0.250 0.250
S 0.250 0.750 0.750
S 0.000 0.250 0.750
S 0.756 0.744 0.744
S 0.000 0.750 0.250
Np 0.000 0.500 0.000
Np 0.500 0.000 0.500
Np 0.000 0.000 0.500
Np 0.500 0.500 0.000
Mn 0.000 0.000 0.000

**Electronic total energy**: -8.27 eV/atom
**Space group**: No. 139
**Formation energy (no corrections)**: -13.529 eV/f.u.
**Magnetic moment**: 17.835 μB/cell
**Mass density**: 7.4 g/cm³


Record 5
Compound: Np3MnS6
Source: Alexandria
Functional: PBE
Structure: optimized geometry

a b c (Å): 6.504 8.411 8.411
angles (deg): 101.79 90.00 90.00
Fractional coordinates of all 20 atoms:
S 0.661 0.224 0.776
S 0.184 0.033 0.967
S 0.161 0.776 0.224
S 0.684 0.967 0.033
S 0.700 0.564 0.097
S 0.185 0.692 0.631
S 0.185 0.369 0.308
S 0.685 0.308 0.369
S 0.685 0.631 0.692
S 0.700 0.903 0.436
S 0.200 0.097 0.564
S 0.200 0.436 0.903
Np 0.480 0.281 0.081
Np 0.980 0.719 0.919
Np 0.390 0.398 0.602
Np 0.890 0.602 0.398
Np 0.480 0.919 0.719
Np 0.980 0.081 0.281
Mn 0.018 0.196 0.804
Mn 0.518 0.804 0.196

**Electronic total energy**: -8.50 eV/atom
**Space group**: No. 36
**Formation energy (no corrections)**: -12.292 eV/f.u.
**Magnetic moment**: 32.010 μB/cell
**Mass density**: 7.1 g/cm³


Record 6
Compound: Np3MnS7
Source: Alexandria
Functional: PBE
Structure: optimized geometry

a b c (Å): 7.663 7.663 8.732
angles (deg): 90.00 90.00 108.32
Fractional coordinates of all 22 atoms:
S 0.337 0.092 0.030
S 0.337 0.092 0.470
S 0.908 0.663 0.030
S 0.364 0.636 0.250
S 0.073 0.927 0.750
S 0.908 0.663 0.470
S 0.092 0.337 0.970
S 0.663 0.908 0.530
S 0.637 0.363 0.250
S 0.663 0.908 0.970
S 0.092 0.337 0.530
S 0.927 0.073 0.250
S 0.636 0.364 0.750
S 0.363 0.637 0.750
Np 0.999 0.548 0.750
Np 0.548 0.999 0.250
Np 0.452 0.001 0.750
Np 0.500 0.500 0.000
Np 0.001 0.452 0.250
Np 0.500 0.500 0.500
Mn 0.000 0.000 0.500
Mn 0.000 0.000 0.000

**Electronic total energy**: -8.09 eV/atom
**Space group**: No. 63
**Formation energy (no corrections)**: -12.116 eV/f.u.
**Magnetic moment**: 12.009 μB/cell
**Mass density**: 6.8 g/cm³


Record 7
Compound: Np2MnS5
Source: Alexandria
Functional: PBE
Structure: optimized geometry

a b c (Å): 7.506 7.578 10.515
angles (deg): 90.00 89.40 90.00
Fractional coordinates of all 32 atoms:
Np 0.581 0.000 0.175
Np 0.420 0.500 0.828
Np 0.077 0.500 0.324
Np 0.419 0.000 0.825
Np 0.580 0.500 0.172
Np 0.923 0.500 0.676
Np 0.080 0.000 0.328
Np 0.920 0.000 0.672
S 0.643 0.250 0.702
S 0.686 0.500 0.433
S 0.643 0.750 0.702
S 0.357 0.250 0.298
S 0.314 0.000 0.566
S 0.141 0.250 0.798
S 0.859 0.750 0.202
S 0.500 0.754 0.000
S 0.859 0.250 0.202
S 0.500 0.246 0.000
S 0.815 0.500 0.935
S 0.357 0.750 0.298
S 0.686 0.000 0.434
S 0.823 0.000 0.933
S 0.314 0.500 0.567
S 0.000 0.252 0.500
S 0.177 0.000 0.067
S 0.185 0.500 0.065
S 0.000 0.748 0.500
S 0.141 0.750 0.798
Mn 0.000 0.748 0.000
Mn 0.500 0.252 0.500
Mn 0.500 0.748 0.500
Mn 0.000 0.252 0.000

**Electronic total energy**: -8.04 eV/atom
**Space group**: No. 10
**Formation energy (no corrections)**: -8.666 eV/f.u.
**Magnetic moment**: 0.586 μB/cell
**Mass density**: 7.7 g/cm³


Record 8
Compound: NpSc2MnS6
Source: Alexandria
Functional: PBE
Structure: optimized geometry

a b c (Å): 6.533 6.533 7.023
angles (deg): 62.28 62.28 60.00
Fractional coordinates of all 10 atoms:
S 0.219 0.901 0.257
S 0.732 0.105 0.745
S 0.418 0.732 0.745
S 0.105 0.418 0.745
S 0.623 0.219 0.257
S 0.901 0.623 0.257
Sc 0.013 0.013 0.962
Sc 0.514 0.514 0.459
Mn 0.819 0.819 0.543
Np 0.318 0.318 0.045

**Electronic total energy**: -7.34 eV/atom
**Space group**: No. 146
**Formation energy (no corrections)**: -13.871 eV/f.u.
**Magnetic moment**: 8.000 μB/cell
**Mass density**: 4.4 g/cm³


Record 9
Compound: Sr2NpMnS6
Source: Alexandria
Functional: PBE
Structure: optimized geometry

a b c (Å): 6.753 7.104 9.712
angles (deg): 90.00 90.71 90.00
Fractional coordinates of all 20 atoms:
Sr 0.478 0.426 0.253
Sr 0.522 0.574 0.747
Sr 0.022 0.926 0.247
Sr 0.978 0.074 0.753
S 0.797 0.804 0.544
S 0.694 0.295 0.545
S 0.703 0.304 0.956
S 0.297 0.696 0.044
S 0.194 0.205 0.045
S 0.306 0.705 0.455
S 0.913 0.515 0.243
S 0.587 0.015 0.257
S 0.413 0.985 0.743
S 0.203 0.196 0.456
S 0.087 0.485 0.757
S 0.806 0.795 0.955
Np 0.000 0.500 0.500
Np 0.500 0.000 0.000
Mn 0.500 0.000 0.500
Mn 0.000 0.500 0.000

**Electronic total energy**: -6.42 eV/atom
**Space group**: No. 14
**Formation energy (no corrections)**: -13.917 eV/f.u.
**Magnetic moment**: 12.000 μB/cell
**Mass density**: 4.7 g/cm³


Record 10
Compound: Sr2NpMnS5
Source: Alexandria
Functional: PBE
Structure: optimized geometry

a b c (Å): 4.070 8.872 12.472
angles (deg): 90.00 90.00 103.26
Fractional coordinates of all 18 atoms:
S 0.497 0.994 0.772
S 0.050 0.100 0.036
S 0.711 0.422 0.168
S 0.950 0.900 0.536
S 0.289 0.578 0.668
S 0.503 0.006 0.272
S 0.359 0.717 0.006
S 0.689 0.378 0.877
S 0.641 0.283 0.506
S 0.311 0.622 0.377
Sr 0.876 0.752 0.823
Sr 0.893 0.785 0.182
Sr 0.124 0.248 0.323
Sr 0.107 0.215 0.682
Np 0.206 0.412 0.024
Np 0.794 0.588 0.524
Mn 0.556 0.111 0.937
Mn 0.444 0.889 0.437

**Electronic total energy**: -6.64 eV/atom
**Space group**: No. 36
**Formation energy (no corrections)**: -13.613 eV/f.u.
**Magnetic moment**: 16.000 μB/cell
**Mass density**: 4.8 g/cm³


Record 11
Compound: Tb2NpMnS6
Source: Alexandria
Functional: PBE
Structure: optimized geometry

a b c (Å): 6.782 6.781 7.202
angles (deg): 61.91 61.91 60.00
Fractional coordinates of all 10 atoms:
S 0.694 0.106 0.766
S 0.106 0.434 0.766
S 0.944 0.595 0.252
S 0.434 0.694 0.766
S 0.209 0.944 0.252
S 0.595 0.209 0.252
Mn 0.319 0.319 0.043
Np 0.821 0.821 0.538
Tb 0.021 0.021 0.936
Tb 0.519 0.519 0.444

**Electronic total energy**: -7.09 eV/atom
**Space group**: No. 146
**Formation energy (no corrections)**: -14.716 eV/f.u.
**Magnetic moment**: 8.000 μB/cell
**Mass density**: 5.5 g/cm³


Record 12
Compound: NpMn2Tl3S6
Source: Alexandria
Functional: PBE
Structure: optimized geometry

a b c (Å): 6.524 6.524 7.857
angles (deg): 97.99 97.99 119.93
Fractional coordinates of all 12 atoms:
Tl 0.164 0.836 0.500
Tl 0.500 0.500 0.500
Tl 0.836 0.164 0.500
S 0.592 0.938 0.813
S 0.062 0.408 0.187
S 0.716 0.716 0.185
S 0.408 0.062 0.187
S 0.284 0.284 0.815
S 0.938 0.592 0.813
Np 0.000 0.000 0.000
Mn 0.333 0.667 0.000
Mn 0.667 0.333 0.000

**Electronic total energy**: -5.94 eV/atom
**Space group**: No. 12
**Formation energy (no corrections)**: -8.128 eV/f.u.
**Magnetic moment**: 12.001 μB/cell
**Mass density**: 6.9 g/cm³